Material: AlAs4Os
Method: DFT, PBE
State: optimized geometry

The structure in CIF format:
```
data_AlAs4Os
_chemical_formula_sum 'Al4 As16 Os4'
_cell_length_a 7.6225
_cell_length_b 7.6225
_cell_length_c 7.6225
_cell_angle_alpha 90.00
_cell_angle_beta 90.00
_cell_angle_gamma 90.00
_symmetry_space_group_name_H-M 'F -4 3 m'
_symmetry_Int_Tables_number 216
_symmetry_space_group_name_Hall 'F -4 2 3'
loop_
_atom_site_label
_atom_site_fract_x
_atom_site_fract_y
_atom_site_fract_z
_atom_site_occupancy
Al1 0.0000 0.0000 0.0000 1
As1 0.1258 0.1258 0.6258 1
Os1 0.2500 0.2500 0.2500 1
```

Summary:
Energy relative to the elements: 0.984 eV per atom
Mass density: 7.75 Mg/m³
Size of the total moment: 0.000 μB/atom
Crystal system: cubic

***

Material: Li2PtN
Method: DFT, PBE
State: optimized geometry

The structure in CIF format:
```
data_Li2PtN
_chemical_formula_sum 'Li8 Pt4 N4'
_cell_length_a 8.4294
_cell_length_b 8.4294
_cell_length_c 3.8181
_cell_angle_alpha 90.00
_cell_angle_beta 90.00
_cell_angle_gamma 90.00
_symmetry_space_group_name_H-M 'I -4 2 d'
_symmetry_Int_Tables_number 122
_symmetry_space_group_name_Hall 'I -4 2bw'
loop_
_atom_site_label
_atom_site_fract_x
_atom_site_fract_y
_atom_site_fract_z
_atom_site_occupancy
Li1 0.0009 0.2500 0.1250 1
Pt1 0.0000 0.0000 0.5000 1
N1 0.0000 0.0000 0.0000 1
```

Summary:
Mass density: 5.46 Mg/m³
Size of the total moment: 0.000 μB/atom
Formation energy from raw total energies: -0.337 eV/atom
Crystal system: tetragonal

***

Material: CdFePb2
Method: DFT, PBE
State: optimized geometry

The structure in CIF format:
```
data_CdFePb2
_chemical_formula_sum 'Cd2 Fe2 Pb4'
_cell_length_a 4.3228
_cell_length_b 4.8913
_cell_length_c 9.2580
_cell_angle_alpha 90.00
_cell_angle_beta 90.00
_cell_angle_gamma 90.00
_symmetry_space_group_name_H-M 'C m m m'
_symmetry_Int_Tables_number 65
_symmetry_space_group_name_Hall '-C 2 2'
loop_
_atom_site_label
_atom_site_fract_x
_atom_site_fract_y
_atom_site_fract_z
_atom_site_occupancy
Cd1 0.0000 0.0000 0.0000 1
Fe1 0.0000 0.0000 0.5000 1
Pb1 0.0000 0.5000 0.2953 1
```

Summary:
Energy relative to the elements: 0.369 eV per atom
Mass density: 9.89 Mg/m³
Size of the total moment: 0.625 μB/atom
Crystal system: orthorhombic

***

Material: ScPaSb
Method: DFT, PBE
State: optimized geometry

The structure in CIF format:
```
data_ScPaSb
_chemical_formula_sum 'Sc1 Pa1 Sb1'
_cell_length_a 5.0220
_cell_length_b 5.0220
_cell_length_c 3.4318
_cell_angle_alpha 90.00
_cell_angle_beta 90.00
_cell_angle_gamma 120.00
_symmetry_space_group_name_H-M 'P 3 m 1'
_symmetry_Int_Tables_number 156
loop_
_symmetry_equiv_pos_as_xyz
'x,y,z'
'-y,x-y,z'
'-x+y,-x,z'
'-y,-x,z'
'-x+y,y,z'
'x,x-y,z'
loop_
_atom_site_label
_atom_site_fract_x
_atom_site_fract_y
_atom_site_fract_z
_atom_site_occupancy
Sc1 0.0000 0.0000 0.0000 1
Pa1 0.6667 0.3333 0.4995 1
Sb1 0.3333 0.6667 0.9963 1
```

Summary:
Energy relative to the lowest polymorph listed for this composition: 0.067 eV per atom
Mass density: 8.81 Mg/m³
Size of the total moment: 0.392 μB/atom
Formation energy from raw total energies: -0.183 eV/atom
Crystal system: trigonal